Entry 1:
# Li2Ga8Cu

Crystalline Li2Ga8Cu at its relaxed geometry (GGA-PBE, Alexandria via LeMat-Bulk).

```
data_Li2Ga8Cu
_chemical_formula_sum 'Li2 Ga8 Cu1'
_cell_length_a 4.1580
_cell_length_b 4.1580
_cell_length_c 10.7663
_cell_angle_alpha 90.00
_cell_angle_beta 90.00
_cell_angle_gamma 90.00
_space_group_name_H-M_alt 'P 1'
_space_group_IT_number 1
_space_group_name_Hall 'P 1'
loop_
_atom_site_label
_atom_site_type_symbol
_atom_site_fract_x
_atom_site_fract_y
_atom_site_fract_z
Ga1 Ga 0.0000 0.5000 0.1356
Ga2 Ga 0.5000 0.0000 0.1356
Ga3 Ga 0.5000 0.5000 0.6894
Ga4 Ga 0.0000 0.5000 0.5000
Ga5 Ga 0.0000 0.5000 0.8644
Ga6 Ga 0.5000 0.0000 0.5000
Ga7 Ga 0.5000 0.5000 0.3106
Ga8 Ga 0.5000 0.0000 0.8644
Li1 Li 0.0000 0.0000 0.6811
Li2 Li 0.0000 0.0000 0.3189
Cu1 Cu 0.0000 0.0000 0.0000
```

Summary:
As for the space group: P4/mmm (123). The calculation puts the relative energy among the computed polymorphs at 0 meV/atom. The value obtained for the total magnetization is 0.00 μB/cell. Its volume is 186.1 Å³/cell. The final energy is -3.08 eV per atom.



Entry 2:
# TmZnGa2Cu5

Crystalline TmZnGa2Cu5 at its relaxed geometry (GGA-PBE, Alexandria via LeMat-Bulk).

```
data_TmZnGa2Cu5
_chemical_formula_sum 'Tm1 Zn1 Ga2 Cu5'
_cell_length_a 4.4842
_cell_length_b 4.4842
_cell_length_c 7.2909
_cell_angle_alpha 90.00
_cell_angle_beta 90.00
_cell_angle_gamma 90.00
_space_group_name_H-M_alt 'P 1'
_space_group_IT_number 1
_space_group_name_Hall 'P 1'
loop_
_atom_site_label
_atom_site_type_symbol
_atom_site_fract_x
_atom_site_fract_y
_atom_site_fract_z
Cu1 Cu 0.5000 0.0000 0.2784
Cu2 Cu 0.0000 0.5000 0.2784
Cu3 Cu 0.5000 0.5000 0.5000
Cu4 Cu 0.5000 0.0000 0.7216
Cu5 Cu 0.0000 0.5000 0.7216
Zn1 Zn 0.0000 0.0000 0.0000
Ga1 Ga 0.5000 0.5000 0.8374
Ga2 Ga 0.5000 0.5000 0.1626
Tm1 Tm 0.0000 0.0000 0.5000
```

Summary:
As for the space group: P4/mmm (123). The value obtained for the total magnetization is 0.00 μB/cell. Its volume is 146.6 Å³/cell. The final energy is -3.54 eV per atom.



Entry 3:
# Pm7Zn2Ag2

Crystalline Pm7Zn2Ag2 at its relaxed geometry (GGA-PBE, Alexandria via LeMat-Bulk).

```
data_Pm7Zn2Ag2
_chemical_formula_sum 'Pm7 Zn2 Ag2'
_cell_length_a 6.6594
_cell_length_b 7.9165
_cell_length_c 6.6594
_cell_angle_alpha 90.00
_cell_angle_beta 110.73
_cell_angle_gamma 90.00
_space_group_name_H-M_alt 'P 1'
_space_group_IT_number 1
_space_group_name_Hall 'P 1'
loop_
_atom_site_label
_atom_site_type_symbol
_atom_site_fract_x
_atom_site_fract_y
_atom_site_fract_z
Pm1 Pm 0.0000 0.7094 0.5001
Pm2 Pm 0.0000 0.0000 0.0000
Pm3 Pm 0.5000 0.7258 0.5000
Pm4 Pm 0.0000 0.2906 0.4999
Pm5 Pm 0.5001 0.2906 0.0000
Pm6 Pm 0.5000 0.2742 0.5000
Pm7 Pm 0.4999 0.7094 0.0000
Zn1 Zn 0.8351 0.5000 0.8351
Zn2 Zn 0.1649 0.5000 0.1649
Ag1 Ag 0.7075 0.0000 0.2925
Ag2 Ag 0.2925 0.0000 0.7075
```

Summary:
As for the space group: Cmmm (65). The value obtained for the total magnetization is 0.00 μB/cell. Its volume is 328.4 Å³/cell. The final energy is -3.72 eV per atom.